Run 1
DFT (GGA-PBE) results for crystalline ZrCr2W at its relaxed geometry.

Lattice parameters (Å, degrees): 5.0706 5.0706 5.0706 143.67 125.74 67.07
Last column: nearest neighbours and their distance in Å.
Fractional positions:
Zr1 0.2500 0.7500 0.5000  4 Cr 2.71, 4 W 2.80
Cr1 0.9890 0.9890 0.0000  2 W 2.57, 2 Zr 2.71, 4 Cr 2.81
Cr2 0.5110 0.5110 0.0000  2 W 2.57, 2 Zr 2.71, 4 Cr 2.81
W1 0.7500 0.2500 0.5000  4 Cr 2.57, 4 Zr 2.80

Fermi-level density of states (states/eV/f.u.): 3.9
Symmetry: Immm (71)

---

Run 2
DFT (GGA-PBE) results for crystalline ZrCr2W at its relaxed geometry.

Lattice parameters (Å, degrees): 4.4064 4.4064 4.4064 60.00 60.00 60.00
Last column: nearest neighbours and their distance in Å.
Fractional positions:
W1 0.5000 0.5000 0.5000  8 Cr 2.70
Cr1 0.2500 0.2500 0.2500  4 W 2.70, 4 Zr 2.70
Cr2 0.7500 0.7500 0.7500  4 Zr 2.70, 4 W 2.70
Zr1 0.0000 0.0000 0.0000  8 Cr 2.70

Fermi-level density of states (states/eV/f.u.): 4.4
Symmetry: Fm-3m (225)

---

Run 3
DFT (GGA-PBE) results for crystalline ZrCr2W at its relaxed geometry.

Lattice parameters (Å, degrees): 8.4451 8.4451 8.4451 20.31 20.31 20.31
Last column: nearest neighbours and their distance in Å.
Fractional positions:
W1 0.7500 0.7500 0.7500  6 Cr 2.56
Zr1 0.2500 0.2500 0.2500  6 Cr 2.82, 6 Zr 2.98
Cr1 0.0067 0.0067 0.0067  3 W 2.56, 3 Zr 2.82
Cr2 0.4933 0.4933 0.4933  3 W 2.56, 3 Zr 2.82

Fermi-level density of states (states/eV/f.u.): 5.6
Symmetry: R-3m (166)

---

Run 4
DFT (GGA-PBE) results for crystalline ZrCr2W at its relaxed geometry.

Lattice parameters (Å, degrees): 4.1833 2.8535 5.3907 78.84 90.00 90.00
Last column: nearest neighbours and their distance in Å.
Fractional positions:
W1 0.5000 0.2500 0.2500  4 Cr 2.54, 2 Zr 2.80
Cr1 0.0000 0.9765 0.0504  1 Cr 2.29, 2 W 2.54
Zr1 0.5000 0.7500 0.7500  2 W 2.80, 4 Cr 2.80, 2 Zr 2.85
Cr2 0.0000 0.5235 0.4496  1 Cr 2.29, 2 W 2.54

Fermi-level density of states (states/eV/f.u.): 4.7
Symmetry: P2/m (10)

---

If we sort the structures by their calculated energies, the order from most to least stable is run 2, run 4, run 1, run 3.

---

Run 1
DFT (GGA-PBE) results for crystalline ZrCrW2 at its relaxed geometry.

Lattice parameters (Å, degrees): 4.4054 2.8228 5.3522 80.13 90.00 90.00
Last column: nearest neighbours and their distance in Å.
Fractional positions:
W1 0.0000 0.9944 0.9971  2 Cr 2.68, 4 W 2.69-2.82, 2 Zr 2.77-2.84
Cr1 0.5000 0.7522 0.7621  4 W 2.68-2.93, 2 Zr 2.74, 2 Cr 2.82
W2 0.5000 0.2463 0.2331  2 Cr 2.68-2.93, 4 W 2.69-2.82, 2 Zr 2.82
Zr1 0.0000 0.5071 0.5077  2 Cr 2.74, 4 W 2.77-2.84, 2 Zr 2.82

Fermi-level density of states (states/eV/f.u.): 4.1
Symmetry: Pm (6)

---

Run 2
DFT (GGA-PBE) results for crystalline ZrCrW2 at its relaxed geometry.

Lattice parameters (Å, degrees): 2.6752 4.7072 5.3302 90.00 90.00 90.00
Last column: nearest neighbours and their distance in Å.
Fractional positions:
Cr1 0.5000 0.5000 0.7500  2 Zr 2.67, 2 Cr 2.68
W1 0.0000 0.0000 0.9930  4 W 2.59-2.74
W2 0.0000 0.0000 0.5070  4 W 2.59-2.74
Zr1 0.5000 0.5000 0.2500  2 Cr 2.67, 2 Zr 2.68

Fermi-level density of states (states/eV/f.u.): 3.8
Symmetry: Pmmm (47)

---

Run 3
DFT (GGA-PBE) results for crystalline ZrCrW2 at its relaxed geometry.

Lattice parameters (Å, degrees): 4.5203 4.5203 4.5203 60.00 60.00 60.00
Last column: nearest neighbours and their distance in Å.
Fractional positions:
W1 0.2500 0.2500 0.2500  4 Cr 2.77, 4 W 2.77
Cr1 0.5000 0.5000 0.5000  4 Zr 2.77, 4 W 2.77
Zr1 0.7500 0.7500 0.7500  4 W 2.77, 4 Cr 2.77
W2 0.0000 0.0000 0.0000  4 W 2.77, 4 Zr 2.77

Fermi-level density of states (states/eV/f.u.): 3.8
Symmetry: F-43m (216)

---

If we sort the structures by their calculated energies, the order from most to least stable is run 3, run 1, run 2.

---

Run 1
DFT (GGA-PBE) results for crystalline ZrCrW3 at its relaxed geometry.

Lattice parameters (Å, degrees): 4.7386 4.7386 4.7386 90.00 90.00 90.00
Last column: nearest neighbours and their distance in Å.
Fractional positions:
W1 0.5000 0.0000 0.0000  2 Zr 2.37
W2 0.0000 0.5000 0.0000  2 Zr 2.37
Zr1 0.0000 0.0000 0.0000  6 W 2.37
W3 0.0000 0.0000 0.5000  2 Zr 2.37
Cr1 0.5000 0.5000 0.5000  12 W 3.35

Fermi-level density of states (states/eV/f.u.): 10.6
Symmetry: Pm-3m (221)

---

Run 2
DFT (GGA-PBE) results for crystalline ZrCrW3 at its relaxed geometry.

Lattice parameters (Å, degrees): 4.5464 4.5464 4.5464 90.00 90.00 90.00
Last column: nearest neighbours and their distance in Å.
Fractional positions:
W1 0.0000 0.0000 0.5000  2 Cr 2.27
Cr1 0.0000 0.0000 0.0000  6 W 2.27
W2 0.5000 0.0000 0.0000  2 Cr 2.27
Zr1 0.5000 0.5000 0.5000  12 W 3.21
W3 0.0000 0.5000 0.0000  2 Cr 2.27

Fermi-level density of states (states/eV/f.u.): 8.3
Symmetry: Pm-3m (221)

---

If we sort the structures by their calculated energies, the order from most to least stable is run 2, run 1.

---

Run 1
DFT (GGA-PBE) results for crystalline Y3Cr4 at its relaxed geometry.

Lattice parameters (Å, degrees): 14.0206 14.0206 14.0206 166.91 166.91 18.55
Last column: nearest neighbours and their distance in Å.
Fractional positions:
Y1 0.3044 0.3044 0.0000  5 Cr 3.17, 4 Y 3.20
Cr1 0.8845 0.8845 0.0000  4 Cr 2.45
Cr2 0.5811 0.5811 0.0000  4 Cr 2.45
Cr3 0.1155 0.1155 0.0000  4 Cr 2.45
Cr4 0.4189 0.4189 0.0000  4 Cr 2.45
Y2 0.0000 0.0000 0.0000  10 Cr 3.19-3.20, 4 Y 3.20
Y3 0.6956 0.6956 0.0000  5 Cr 3.17, 4 Y 3.20

Fermi-level density of states (states/eV/f.u.): 9.5
Symmetry: I4/mmm (139)

---

Run 2
DFT (GGA-PBE) results for crystalline Y3Cr4 at its relaxed geometry.

Lattice parameters (Å, degrees): 6.1738 6.1738 5.3592 90.00 90.00 120.00
Last column: nearest neighbours and their distance in Å.
Fractional positions:
Y1 0.0000 0.5000 0.0000  4 Y 3.09, 8 Cr 3.22-3.37
Y2 0.5000 0.0000 0.0000  4 Y 3.09, 8 Cr 3.22-3.37
Cr1 0.3333 0.6667 0.5000  6 Y 3.22, 3 Cr 3.56
Cr2 0.6667 0.3333 0.5000  6 Y 3.22, 3 Cr 3.56
Cr3 0.0000 0.0000 0.2537  2 Cr 2.64-2.72
Y3 0.5000 0.5000 0.0000  4 Y 3.09, 8 Cr 3.22-3.37
Cr4 0.0000 0.0000 0.7463  2 Cr 2.64-2.72

Fermi-level density of states (states/eV/f.u.): 7.2
Symmetry: P6/mmm (191)

---

If we sort the structures by their calculated energies, the order from most to least stable is run 1, run 2.

---

Run 1
DFT (GGA-PBE) results for crystalline Y4Cr at its relaxed geometry.

Lattice parameters (Å, degrees): 5.3768 5.3768 5.3768 90.00 90.00 90.00
Last column: nearest neighbours and their distance in Å.
Fractional positions:
Y1 0.5000 0.5000 0.0000  2 Cr 2.69
Y2 0.0000 0.0000 0.0000  12 Y 3.80
Y3 0.5000 0.0000 0.5000  2 Cr 2.69
Cr1 0.5000 0.5000 0.5000  6 Y 2.69
Y4 0.0000 0.5000 0.5000  2 Cr 2.69

Fermi-level density of states (states/eV/f.u.): 7.6
Symmetry: Pm-3m (221)

---

Run 2
DFT (GGA-PBE) results for crystalline Y4Cr at its relaxed geometry.

Lattice parameters (Å, degrees): 9.4185 9.4185 9.4185 154.10 154.10 36.96
Last column: nearest neighbours and their distance in Å.
Fractional positions:
Y1 0.7500 0.2500 0.5000  4 Y 2.99
Cr1 0.0000 0.0000 0.0000  8 Y 3.38
Y2 0.2500 0.7500 0.5000  4 Y 2.99
Y3 0.4112 0.4112 0.0000  1 Y 3.17, 4 Cr 3.38
Y4 0.5888 0.5888 0.0000  1 Y 3.17, 4 Cr 3.38

Fermi-level density of states (states/eV/f.u.): 5.0
Symmetry: I4/mmm (139)

---

If we sort the structures by their calculated energies, the order from most to least stable is run 1, run 2.

---

Run 1
DFT (GGA-PBE) results for crystalline Y3Cr2 at its relaxed geometry.

Lattice parameters (Å, degrees): 5.0053 5.0053 6.1705 90.00 90.00 120.00
Last column: nearest neighbours and their distance in Å.
Fractional positions:
Y1 0.6667 0.3333 0.6597  5 Cr 2.99-3.18
Cr1 0.3333 0.6667 0.8559  8 Y 2.99-3.18
Y2 0.3333 0.6667 0.3403  5 Cr 2.99-3.18
Y3 0.0000 0.0000 0.0000  6 Cr 3.02
Cr2 0.6667 0.3333 0.1441  8 Y 2.99-3.18

Fermi-level density of states (states/eV/f.u.): 4.9
Symmetry: P-3m1 (164)

---

Run 2
DFT (GGA-PBE) results for crystalline Y3Cr2 at its relaxed geometry.

Lattice parameters (Å, degrees): 12.4813 12.4813 12.4813 15.94 15.94 15.94
Last column: nearest neighbours and their distance in Å.
Fractional positions:
Y1 0.2092 0.2092 0.2092  3 Cr 3.01
Cr1 0.6036 0.6036 0.6036  6 Y 3.01-3.07
Cr2 0.3964 0.3964 0.3964  6 Y 3.01-3.07
Y2 0.0000 0.0000 0.0000  6 Cr 3.07
Y3 0.7908 0.7908 0.7908  3 Cr 3.01

Fermi-level density of states (states/eV/f.u.): 6.7
Symmetry: R-3m (166)

---

If we sort the structures by their calculated energies, the order from most to least stable is run 1, run 2.